(1)
# In2WBr (GGA-PBE, optimized geometry)
# magnetic moment: 0.00 μB per formula unit
# ρ: 9.1 g/cm³
# E_tot: -18.5 eV for the cell shown
# density of states at the Fermi level: 0.7942 states/eV/atom
# E_form (uncorrected): 408.9 meV/atom
# energy above the most stable polymorph in this dataset: 49 meV per atom
data_In2WBr
_chemical_formula_sum 'In2 W1 Br1'
_symmetry_space_group_name_H-M 'P 1'
_symmetry_Int_Tables_number 1
_symmetry_space_group_name_Hall 'P 1'
_cell_length_a 3.1419
_cell_length_b 3.3813
_cell_length_c 8.4829
_cell_angle_alpha 90.00
_cell_angle_beta 90.00
_cell_angle_gamma 90.00
loop_
_atom_site_label
_atom_site_fract_x
_atom_site_fract_y
_atom_site_fract_z
In1 0.0000 0.0000 0.2097
In2 0.0000 0.0000 0.7903
W1 0.5000 0.5000 0.0000
Br1 0.0000 0.5000 0.5000

(2)
# In3ReSb (GGA-PBE, optimized geometry)
# magnetic moment: 4.06 μB per formula unit
# ρ: 6.1 g/cm³
# E_tot: -16.7 eV for the cell shown
# density of states at the Fermi level: 0.6400 states/eV/atom
# E_form (uncorrected): 1625.9 meV/atom
# energy above the most stable polymorph in this dataset: 920 meV per atom
data_In3ReSb
_chemical_formula_sum 'In3 Re1 Sb1'
_symmetry_space_group_name_H-M 'P 1'
_symmetry_Int_Tables_number 1
_symmetry_space_group_name_Hall 'P 1'
_cell_length_a 5.6277
_cell_length_b 5.6277
_cell_length_c 5.6277
_cell_angle_alpha 90.00
_cell_angle_beta 90.00
_cell_angle_gamma 90.00
loop_
_atom_site_label
_atom_site_fract_x
_atom_site_fract_y
_atom_site_fract_z
In1 0.0000 0.0000 0.5000
In2 0.0000 0.5000 0.0000
In3 0.5000 0.0000 0.0000
Re1 0.5000 0.5000 0.5000
Sb1 0.0000 0.0000 0.0000

(3)
# PmB4Mo (GGA-PBE, optimized geometry)
# magnetic moment: 0.00 μB per formula unit
# ρ: 7.1 g/cm³
# E_tot: -182.6 eV for the cell shown
# density of states at the Fermi level: 0.0287 states/eV/atom
# energy of formation from the pure elements: -0.56 eV per atom
data_PmB4Mo
_chemical_formula_sum 'Pm4 B16 Mo4'
_symmetry_space_group_name_H-M 'P 1'
_symmetry_Int_Tables_number 1
_symmetry_space_group_name_Hall 'P 1'
_cell_length_a 6.1048
_cell_length_b 11.8038
_cell_length_c 3.6881
_cell_angle_alpha 90.00
_cell_angle_beta 90.00
_cell_angle_gamma 90.00
loop_
_atom_site_label
_atom_site_fract_x
_atom_site_fract_y
_atom_site_fract_z
Pm1 0.1254 0.1502 0.0000
Pm2 0.3746 0.6502 0.0000
Pm3 0.6254 0.3498 0.0000
Pm4 0.8746 0.8498 0.0000
B1 0.0249 0.6916 0.5000
B2 0.1127 0.5465 0.5000
B3 0.1361 0.9678 0.5000
B4 0.2173 0.8150 0.5000
B5 0.2827 0.3150 0.5000
B6 0.3639 0.4678 0.5000
B7 0.3873 0.0465 0.5000
B8 0.4751 0.1916 0.5000
B9 0.5249 0.8084 0.5000
B10 0.6127 0.9535 0.5000
B11 0.6361 0.5322 0.5000
B12 0.7173 0.6850 0.5000
B13 0.7827 0.1850 0.5000
B14 0.8639 0.0322 0.5000
B15 0.8873 0.4535 0.5000
B16 0.9751 0.3084 0.5000
Mo1 0.1279 0.4172 0.0000
Mo2 0.3721 0.9172 0.0000
Mo3 0.6279 0.0828 0.0000
Mo4 0.8721 0.5828 0.0000

(4)
# NaMn2Bi2 (GGA-PBE, optimized geometry)
# magnetic moment: 7.71 μB per formula unit
# ρ: 6.8 g/cm³
# E_tot: -26.5 eV for the cell shown
# density of states at the Fermi level: 0.8745 states/eV/atom
# energy of formation from the pure elements: 0.19 eV per atom
data_NaMn2Bi2
_chemical_formula_sum 'Na1 Mn2 Bi2'
_symmetry_space_group_name_H-M 'P 1'
_symmetry_Int_Tables_number 1
_symmetry_space_group_name_Hall 'P 1'
_cell_length_a 7.5907
_cell_length_b 7.5907
_cell_length_c 7.5907
_cell_angle_alpha 146.12
_cell_angle_beta 146.12
_cell_angle_gamma 48.66
loop_
_atom_site_label
_atom_site_fract_x
_atom_site_fract_y
_atom_site_fract_z
Na1 0.0000 0.0000 0.0000
Mn1 0.2500 0.7500 0.5000
Mn2 0.7500 0.2500 0.5000
Bi1 0.3747 0.3747 0.0000
Bi2 0.6253 0.6253 0.0000

(5)
# Zr5TlCd (GGA-PBE, optimized geometry)
# magnetic moment: 0.00 μB per formula unit
# ρ: 7.6 g/cm³
# E_tot: -89.9 eV for the cell shown
# density of states at the Fermi level: 1.0987 states/eV/atom
# energy of formation from the pure elements: 0.15 eV per atom
data_Zr5TlCd
_chemical_formula_sum 'Zr10 Tl2 Cd2'
_symmetry_space_group_name_H-M 'P 1'
_symmetry_Int_Tables_number 1
_symmetry_space_group_name_Hall 'P 1'
_cell_length_a 6.0253
_cell_length_b 6.0253
_cell_length_c 10.9717
_cell_angle_alpha 104.56
_cell_angle_beta 104.56
_cell_angle_gamma 61.79
loop_
_atom_site_label
_atom_site_fract_x
_atom_site_fract_y
_atom_site_fract_z
Zr1 0.0977 0.7147 0.9965
Zr2 0.1426 0.8574 0.7500
Zr3 0.1687 0.3119 0.7653
Zr4 0.2853 0.9023 0.5035
Zr5 0.3119 0.1687 0.2653
Zr6 0.6881 0.8313 0.7347
Zr7 0.7147 0.0977 0.4965
Zr8 0.8313 0.6881 0.2347
Zr9 0.8574 0.1426 0.2500
Zr10 0.9023 0.2853 0.0035
Tl1 0.3809 0.6191 0.2500
Tl2 0.6191 0.3809 0.7500
Cd1 0.0000 0.5000 0.5000
Cd2 0.5000 0.0000 0.0000

(6)
# La2Dy4HoTh (GGA-PBE, optimized geometry)
# magnetic moment: 0.00 μB per formula unit
# ρ: 8.4 g/cm³
# E_tot: -40.0 eV for the cell shown
# density of states at the Fermi level: 1.4261 states/eV/atom
# energy of formation from the pure elements: 0.04 eV per atom
data_La2Dy4HoTh
_chemical_formula_sum 'La2 Dy4 Ho1 Th1'
_symmetry_space_group_name_H-M 'P 1'
_symmetry_Int_Tables_number 1
_symmetry_space_group_name_Hall 'P 1'
_cell_length_a 5.1231
_cell_length_b 5.1393
_cell_length_c 9.9975
_cell_angle_alpha 90.00
_cell_angle_beta 90.00
_cell_angle_gamma 90.00
loop_
_atom_site_label
_atom_site_fract_x
_atom_site_fract_y
_atom_site_fract_z
La1 0.0000 0.0000 0.0000
La2 0.5000 0.5000 0.5000
Dy1 0.0000 0.5000 0.2455
Dy2 0.0000 0.5000 0.7545
Dy3 0.5000 0.0000 0.2456
Dy4 0.5000 0.0000 0.7544
Ho1 0.0000 0.0000 0.5000
Th1 0.5000 0.5000 0.0000

(7)
# TbEr2Tm (GGA-PBE, optimized geometry)
# magnetic moment: 0.00 μB per formula unit
# ρ: 9.0 g/cm³
# E_tot: -18.2 eV for the cell shown
# density of states at the Fermi level: 1.5527 states/eV/atom
# energy of formation from the pure elements: 0.01 eV per atom
# energy above the most stable polymorph in this dataset: 6 meV per atom
data_TbEr2Tm
_chemical_formula_sum 'Tb1 Er2 Tm1'
_symmetry_space_group_name_H-M 'P 1'
_symmetry_Int_Tables_number 1
_symmetry_space_group_name_Hall 'P 1'
_cell_length_a 11.4835
_cell_length_b 11.4835
_cell_length_c 11.4835
_cell_angle_alpha 17.72
_cell_angle_beta 17.72
_cell_angle_gamma 17.72
loop_
_atom_site_label
_atom_site_fract_x
_atom_site_fract_y
_atom_site_fract_z
Tb1 0.0000 0.0000 0.0000
Er1 0.4180 0.4180 0.4180
Er2 0.5826 0.5826 0.5826
Tm1 0.8341 0.8341 0.8341

(8)
# K6Na12Li (GGA-PBE, optimized geometry)
# magnetic moment: 0.00 μB per formula unit
# ρ: 0.9 g/cm³
# E_tot: -23.3 eV for the cell shown
# density of states at the Fermi level: 0.5751 states/eV/atom
# energy of formation from the pure elements: 0.05 eV per atom
data_K6Na12Li
_chemical_formula_sum 'K6 Na12 Li1'
_symmetry_space_group_name_H-M 'P 1'
_symmetry_Int_Tables_number 1
_symmetry_space_group_name_Hall 'P 1'
_cell_length_a 9.7515
_cell_length_b 9.7515
_cell_length_c 9.7515
_cell_angle_alpha 96.42
_cell_angle_beta 96.42
_cell_angle_gamma 96.42
loop_
_atom_site_label
_atom_site_fract_x
_atom_site_fract_y
_atom_site_fract_z
K1 0.1986 0.7549 0.3805
K2 0.2451 0.6195 0.8014
K3 0.3805 0.1986 0.7549
K4 0.6195 0.8014 0.2451
K5 0.7549 0.3805 0.1986
K6 0.8014 0.2451 0.6195
Na1 0.0105 0.9539 0.7273
Na2 0.0461 0.2727 0.9895
Na3 0.1533 0.3628 0.4347
Na4 0.2727 0.9895 0.0461
Na5 0.3628 0.4347 0.1533
Na6 0.4347 0.1533 0.3628
Na7 0.5653 0.8467 0.6372
Na8 0.6372 0.5653 0.8467
Na9 0.7273 0.0105 0.9539
Na10 0.8467 0.6372 0.5653
Na11 0.9539 0.7273 0.0105
Na12 0.9895 0.0461 0.2727
Li1 0.5000 0.5000 0.5000